# 1
Compound: CdCuAs2
Source: Alexandria
Functional: PBE
Structure: optimized geometry

```
CdCuAs2
1.0
-2.3707 2.3707 7.7446
2.3707 -2.3707 7.7446
2.3707 2.3707 -7.7446
Cd Cu As
2 2 4
Direct
0.0000 0.0000 0.0000 Cd
0.7500 0.2500 0.5000 Cd
0.2500 0.7500 0.5000 Cu
0.5000 0.5000 0.0000 Cu
0.2062 0.6250 0.0812 As
0.3750 0.4562 0.5812 As
0.5438 0.1250 0.9188 As
0.8750 0.7938 0.4188 As
```

Output
For the formation energy, the calculation gives 0.1235 eV per atom. The value obtained for the total magnetization is 0.0 Bohr magnetons per cell. As for the space group: No. 122.



# 2
Compound: CdCuAs2
Source: Alexandria
Functional: PBE
Structure: optimized geometry

```
CdCuAs2
1.0
1.5457 0.8924 9.1520
-1.5457 0.8924 9.1520
0.0000 -1.7848 9.1520
Cd Cu As
1 1 2
Direct
0.0000 0.0000 0.0000 Cd
0.5000 0.5000 0.5000 Cu
0.2336 0.2336 0.2336 As
0.7664 0.7664 0.7664 As
```

Output
For the formation energy, the calculation gives 0.1979 eV per atom. The value obtained for the total magnetization is 0.0 Bohr magnetons per cell. As for the space group: No. 166.



# 3
Compound: CdCuAs2
Source: Alexandria
Functional: PBE
Structure: optimized geometry

```
CdCuAs2
1.0
2.7690 -3.7005 0.0000
2.7690 3.7005 0.0000
0.0000 0.0000 3.6684
Cd Cu As
1 1 2
Direct
0.0000 0.0000 0.0000 Cd
0.5000 0.5000 0.0000 Cu
0.0000 0.5000 0.5000 As
0.5000 0.0000 0.5000 As
```

Output
For the formation energy, the calculation gives 0.2794 eV per atom. The value obtained for the total magnetization is 0.0 Bohr magnetons per cell. As for the space group: No. 65.



# 4
Compound: CdCuAs2
Source: Alexandria
Functional: PBE
Structure: optimized geometry

```
CdCuAs2
1.0
2.8625 0.0000 0.0000
0.0000 2.8625 0.0000
0.0000 0.0000 9.1944
Cd Cu As
1 1 2
Direct
0.0000 0.0000 0.0000 Cd
0.5000 0.5000 0.2223 Cu
0.0000 0.0000 0.4080 As
0.5000 0.5000 0.7359 As
```

Output
For the formation energy, the calculation gives 0.2340 eV per atom. The value obtained for the total magnetization is 0.0 Bohr magnetons per cell. As for the space group: No. 99.



# 5
Compound: CdCuAs2
Source: Alexandria
Functional: PBE
Structure: optimized geometry

```
CdCuAs2
1.0
-2.1378 2.1378 4.0774
2.1378 -2.1378 4.0774
2.1378 2.1378 -4.0774
Cd Cu As
1 1 2
Direct
0.0000 0.0000 0.0000 Cd
0.5000 0.5000 0.0000 Cu
0.2500 0.7500 0.5000 As
0.7500 0.2500 0.5000 As
```

Output
For the formation energy, the calculation gives 0.3036 eV per atom. The value obtained for the total magnetization is 0.0 Bohr magnetons per cell. As for the space group: No. 139.



# 6
Compound: CdCuAs2
Source: Alexandria
Functional: PBE
Structure: optimized geometry

```
CdCuAs2
1.0
2.7784 -3.6153 0.0000
2.7784 3.6153 0.0000
-1.9429 0.0000 3.9176
Cd Cu As
1 1 2
Direct
0.0000 0.0000 0.0000 Cd
0.5000 0.5000 0.0000 Cu
0.0000 0.5000 0.5000 As
0.5000 0.0000 0.5000 As
```

Output
For the formation energy, the calculation gives 0.2505 eV per atom. The value obtained for the total magnetization is 0.0 Bohr magnetons per cell. As for the space group: No. 12.



# 7
Compound: CdCuAs2
Source: Alexandria
Functional: PBE
Structure: optimized geometry

```
CdCuAs2
1.0
2.8312 0.0000 0.0000
0.0000 3.9192 0.0000
0.0000 0.0000 6.9634
Cd Cu As
1 1 2
Direct
0.0000 0.0000 0.0000 Cd
0.5000 0.5000 0.2757 Cu
0.0000 0.0000 0.4086 As
0.5000 0.5000 0.7675 As
```

Output
For the formation energy, the calculation gives 0.2221 eV per atom. The value obtained for the total magnetization is 0.0 Bohr magnetons per cell. As for the space group: No. 25.



# 8
Compound: Cd3CuAs
Source: Alexandria
Functional: PBE
Structure: optimized geometry

```
Cd3CuAs
1.0
5.3310 0.0000 0.0000
0.0000 5.3310 0.0000
0.0000 0.0000 5.3310
Cd Cu As
3 1 1
Direct
0.0000 0.0000 0.5000 Cd
0.0000 0.5000 0.0000 Cd
0.5000 0.0000 0.0000 Cd
0.5000 0.5000 0.5000 Cu
0.0000 0.0000 0.0000 As
```

Output
For the formation energy, the calculation gives 0.5962 eV per atom. The value obtained for the total magnetization is 0.0 Bohr magnetons per cell. For the offset from the most stable computed form, the calculation gives 178 meV per atom. As for the space group: No. 221.



# 9
Compound: CdCuAs2
Source: Alexandria
Functional: PBE
Structure: optimized geometry

```
CdCuAs2
1.0
3.8975 0.0000 0.0000
0.0000 4.2132 0.0000
0.0000 0.0000 4.5579
Cd Cu As
1 1 2
Direct
0.0000 0.0000 0.0000 Cd
0.5000 0.5000 0.0000 Cu
0.0000 0.5000 0.5000 As
0.5000 0.0000 0.5000 As
```

Output
For the formation energy, the calculation gives 0.3072 eV per atom. The value obtained for the total magnetization is 0.0 Bohr magnetons per cell. As for the space group: No. 47.



# 10
Compound: Cd2CuAs2
Source: Alexandria
Functional: PBE
Structure: optimized geometry

```
Cd2CuAs2
1.0
6.2760 0.0000 0.0000
0.0000 6.2760 0.0000
0.0000 0.0000 5.5922
Cd Cu As
4 2 4
Direct
0.1812 0.3188 0.0000 Cd
0.3188 0.8188 0.0000 Cd
0.6812 0.1812 0.0000 Cd
0.8188 0.6812 0.0000 Cd
0.0000 0.0000 0.5000 Cu
0.5000 0.5000 0.5000 Cu
0.1410 0.3590 0.5000 As
0.3590 0.8590 0.5000 As
0.6410 0.1410 0.5000 As
0.8590 0.6410 0.5000 As
```

Output
For the formation energy, the calculation gives 0.0817 eV per atom. The value obtained for the total magnetization is 0.0 Bohr magnetons per cell. As for the space group: No. 127.



# 11
Compound: Cd3CuAs
Source: Alexandria
Functional: PBE
Structure: optimized geometry

```
Cd3CuAs
1.0
4.9515 0.0000 0.0000
0.0000 4.9515 0.0000
0.0000 0.0000 4.9515
Cd Cu As
3 1 1
Direct
0.0000 0.0000 0.5000 Cd
0.0000 0.5000 0.0000 Cd
0.5000 0.0000 0.0000 Cd
0.0000 0.0000 0.0000 Cu
0.5000 0.5000 0.5000 As
```

Output
For the formation energy, the calculation gives 0.4182 eV per atom. The value obtained for the total magnetization is 0.0 Bohr magnetons per cell. For the offset from the most stable computed form, the calculation gives 0 meV per atom. As for the space group: No. 221.



# 12
Compound: CdCuAs2
Source: Alexandria
Functional: PBE
Structure: optimized geometry

```
CdCuAs2
1.0
1.5089 0.8712 9.3330
-1.5089 0.8712 9.3330
0.0000 -1.7424 9.3330
Cd Cu As
1 1 2
Direct
0.0000 0.0000 0.0000 Cd
0.7464 0.7464 0.7464 Cu
0.2381 0.2381 0.2381 As
0.4802 0.4802 0.4802 As
```

Output
For the formation energy, the calculation gives 0.2729 eV per atom. The value obtained for the total magnetization is 0.0 Bohr magnetons per cell. As for the space group: No. 160.



# 13
Compound: Cd2Cu2As
Source: Alexandria
Functional: PBE
Structure: optimized geometry

```
Cd2Cu2As
1.0
7.7150 0.0000 0.0000
0.0000 7.7150 0.0000
0.0000 0.0000 2.9798
Cd Cu As
4 4 2
Direct
0.1792 0.3208 0.0000 Cd
0.3208 0.8208 0.0000 Cd
0.6792 0.1792 0.0000 Cd
0.8208 0.6792 0.0000 Cd
0.1156 0.6156 0.5000 Cu
0.3844 0.1156 0.5000 Cu
0.6156 0.8844 0.5000 Cu
0.8844 0.3844 0.5000 Cu
0.0000 0.0000 0.5000 As
0.5000 0.5000 0.5000 As
```

Output
For the formation energy, the calculation gives 0.1850 eV per atom. The value obtained for the total magnetization is 0.0 Bohr magnetons per cell. For the offset from the most stable computed form, the calculation gives 0 meV per atom. As for the space group: No. 127.



# 14
Compound: CdCuAs
Source: Alexandria
Functional: PBE
Structure: optimized geometry

```
CdCuAs
1.0
-1.4049 1.7854 5.5067
1.4049 -1.7854 5.5067
1.4049 1.7854 -5.5067
Cd Cu As
1 1 1
Direct
0.0000 0.0000 0.0000 Cd
0.6684 0.6684 0.0000 Cu
0.2876 0.2876 0.0000 As
```

Output
For the formation energy, the calculation gives 0.1558 eV per atom. The value obtained for the total magnetization is 0.0 Bohr magnetons per cell. As for the space group: No. 44.



# 15
Compound: CdCuAs2
Source: Alexandria
Functional: PBE
Structure: optimized geometry

```
CdCuAs2
1.0
1.4789 -2.6162 0.0000
1.4789 2.6162 0.0000
0.0000 0.0000 9.7983
Cd Cu As
1 1 2
Direct
0.0000 0.0000 0.0000 Cd
0.5000 0.5000 0.2316 Cu
0.0000 0.0000 0.4335 As
0.5000 0.5000 0.7440 As
```

Output
For the formation energy, the calculation gives 0.2568 eV per atom. The value obtained for the total magnetization is 0.0 Bohr magnetons per cell. As for the space group: No. 35.



# 16
Compound: CdCuAs
Source: Alexandria
Functional: PBE
Structure: optimized geometry

```
CdCuAs
1.0
-1.4701 1.4701 6.3495
1.4701 -1.4701 6.3495
1.4701 1.4701 -6.3495
Cd Cu As
1 1 1
Direct
0.0000 0.0000 0.0000 Cd
0.3463 0.3463 0.0000 Cu
0.7170 0.7170 0.0000 As
```

Output
For the formation energy, the calculation gives 0.1572 eV per atom. The value obtained for the total magnetization is 0.0 Bohr magnetons per cell. As for the space group: No. 107.



# 17
Compound: CdFeCuAs2
Source: Alexandria
Functional: PBE
Structure: optimized geometry

```
CdFeCuAs2
1.0
4.4308 0.0000 0.0000
0.0000 4.4308 0.0000
0.0000 0.0000 5.0751
Cd Fe Cu As
1 1 1 2
Direct
0.0000 0.0000 0.0000 Cd
0.0000 0.0000 0.5000 Fe
0.5000 0.5000 0.0000 Cu
0.0000 0.5000 0.5000 As
0.5000 0.0000 0.5000 As
```

Output
For the formation energy, the calculation gives 0.4598 eV per atom. The value obtained for the total magnetization is 0.0 Bohr magnetons per cell. As for the space group: No. 123.



# 18
Compound: Cd2CuGeAs
Source: Alexandria
Functional: PBE
Structure: optimized geometry

```
Cd2CuGeAs
1.0
5.0131 0.0000 0.0000
0.0000 5.0131 0.0000
0.0000 0.0000 4.5337
Cd Cu Ge As
2 1 1 1
Direct
0.0000 0.5000 0.0000 Cd
0.5000 0.0000 0.0000 Cd
0.0000 0.0000 0.0000 Cu
0.0000 0.0000 0.5000 Ge
0.5000 0.5000 0.5000 As
```

Output
For the formation energy, the calculation gives 0.4204 eV per atom. The value obtained for the total magnetization is 0.0 Bohr magnetons per cell. As for the space group: No. 123.



# 19
Compound: Cd2CuAsH
Source: Alexandria
Functional: PBE
Structure: optimized geometry

```
Cd2CuAsH
1.0
5.4015 0.0000 0.0000
0.0000 5.4015 0.0000
0.0000 0.0000 4.4768
Cd Cu As H
2 1 1 1
Direct
0.0000 0.5000 0.0000 Cd
0.5000 0.0000 0.0000 Cd
0.0000 0.0000 0.5000 Cu
0.0000 0.0000 0.0000 As
0.5000 0.5000 0.5000 H
```

Output
The value obtained for the total magnetization is 0.0 Bohr magnetons per cell. The total energy comes out at -10.95 eV for the cell shown. As for the space group: No. 123.



# 20
Compound: CdCuAs2Ir
Source: Alexandria
Functional: PBE
Structure: optimized geometry

```
CdCuAs2Ir
1.0
4.9362 0.0000 0.0000
0.0000 4.9362 0.0000
0.0000 0.0000 4.6314
Cd Cu As Ir
1 1 2 1
Direct
0.0000 0.0000 0.0000 Cd
0.0000 0.0000 0.5000 Cu
0.0000 0.5000 0.0000 As
0.5000 0.0000 0.0000 As
0.5000 0.5000 0.5000 Ir
```

Output
For the formation energy, the calculation gives 1.5561 eV per atom. The value obtained for the total magnetization is 0.0 Bohr magnetons per cell. As for the space group: No. 123.